(1)
Here is a geometry-optimized ZnFeN2 structure from Alexandria via LeMat-Bulk. Energies are from GGA-PBE.

The calculation puts the uncorrected formation energy at 0.32 eV/atom. The calculated density comes out at 5.93 g/cm3.

Cell: 6.0653 6.0653 6.0653 Å, 27.43 27.43 27.43°
Last column: magnetic moment on the atom in μB.
Element x y z (fractional)
Zn1 0.0000 0.0000 0.0000  0.00
N1 0.1075 0.1075 0.1075  0.10
N2 0.8925 0.8925 0.8925  0.10
Fe1 0.5000 0.5000 0.5000  1.76

***

(2)
Here is a geometry-optimized LaGeS3 structure from Alexandria via LeMat-Bulk. Energies are from GGA-PBE.

The calculation puts the uncorrected formation energy at -0.94 eV/atom. The calculated density comes out at 4.72 g/cm3. The energy above the most stable polymorph in this dataset comes out at 309 meV per atom.

Cell: 4.7671 4.7671 4.7671 Å, 90.00 90.00 90.00°
Element x y z (fractional)
Ge1 0.0000 0.0000 0.0000
La1 0.5000 0.5000 0.5000
S1 0.0000 0.5000 0.0000
S2 0.0000 0.0000 0.5000
S3 0.5000 0.0000 0.0000

***

(3)
Here is a geometry-optimized Pr7SmEr4 structure from Alexandria via LeMat-Bulk. Energies are from GGA-PBE.

The calculated density comes out at 7.18 g/cm3. As for the energy relative to the elements: 0.204 eV/atom. The energy above the most stable polymorph in this dataset comes out at 198 meV per atom.

Cell: 6.0502 9.7472 8.6701 Å, 62.31 69.58 71.92°
Element x y z (fractional)
Pr1 0.0885 0.5441 0.2789
Pr2 0.7811 0.2492 0.1885
Pr3 0.5000 0.0000 0.0000
Pr4 0.2189 0.7508 0.8115
Pr5 0.2143 0.1110 0.4604
Pr6 0.7857 0.8890 0.5396
Pr7 0.9115 0.4559 0.7211
Er1 0.6673 0.6287 0.0368
Er2 0.4322 0.7000 0.4357
Er3 0.5678 0.3000 0.5643
Er4 0.3327 0.3713 0.9632
Sm1 0.0000 0.0000 0.0000

***

(4)
Here is a geometry-optimized LiPuSi2 structure from Alexandria via LeMat-Bulk. Energies are from GGA-PBE.

The calculation puts the uncorrected formation energy at -0.18 eV/atom. The calculated density comes out at 7.20 g/cm3. The energy above the most stable polymorph in this dataset comes out at 179 meV per atom.

Cell: 4.6451 4.6451 4.6449 Å, 60.00 60.00 60.00°
Last column: magnetic moment on the atom in μB.
Element x y z (fractional)
Si1 0.2500 0.2500 0.2500  -0.04
Si2 0.7500 0.7500 0.7500  -0.04
Li1 0.0000 0.0000 0.0000  -0.01
Pu1 0.5000 0.5000 0.5000  4.82

***

(5)
Here is a geometry-optimized Ba4MnW structure from Alexandria via LeMat-Bulk. Energies are from GGA-PBE.

The calculated density comes out at 5.24 g/cm3. As for the energy relative to the elements: 1.547 eV/atom.

Cell: 7.0684 7.0684 7.0684 Å, 60.00 60.00 60.00°
Last column: magnetic moment on the atom in μB.
Element x y z (fractional)
Ba1 0.3745 0.3745 0.8765  -0.11
Ba2 0.8765 0.3745 0.3745  -0.11
Ba3 0.3745 0.8765 0.3745  -0.11
Ba4 0.3745 0.3745 0.3745  -0.11
W1 0.0000 0.0000 0.0000  2.92
Mn1 0.7500 0.7500 0.7500  4.30

***

(6)
Here is a geometry-optimized Li12Tl3Rh structure from Alexandria via LeMat-Bulk. Energies are from GGA-PBE.

The calculated density comes out at 4.70 g/cm3. As for the energy relative to the elements: -0.156 eV/atom.

Cell: 4.3168 4.3168 15.1582 Å, 90.00 90.00 90.00°
Element x y z (fractional)
Li1 0.0000 0.5000 0.0987
Li2 0.5000 0.5000 0.5000
Li3 0.5000 0.5000 0.7695
Li4 0.5000 0.0000 0.9013
Li5 0.0000 0.5000 0.3610
Li6 0.5000 0.5000 0.0000
Li7 0.0000 0.5000 0.6390
Li8 0.5000 0.5000 0.2305
Li9 0.0000 0.5000 0.9013
Li10 0.5000 0.0000 0.3610
Li11 0.5000 0.0000 0.0987
Li12 0.5000 0.0000 0.6390
Tl1 0.0000 0.0000 0.2232
Tl2 0.0000 0.0000 0.5000
Tl3 0.0000 0.0000 0.7768
Rh1 0.0000 0.0000 0.0000

***

(7)
Here is a geometry-optimized HfB3Mo structure from Alexandria via LeMat-Bulk. Energies are from GGA-PBE.

The calculated density comes out at 7.17 g/cm3. As for the energy relative to the elements: 1.908 eV/atom. The energy above the most stable polymorph in this dataset comes out at 2420 meV per atom.

Cell: 4.1429 4.1429 4.1429 Å, 90.00 90.00 90.00°
Element x y z (fractional)
B1 0.0000 0.0000 0.5000
B2 0.0000 0.5000 0.0000
B3 0.5000 0.0000 0.0000
Hf1 0.0000 0.0000 0.0000
Mo1 0.5000 0.5000 0.5000

***

(8)
Here is a geometry-optimized Ac3Er5H12 structure from Alexandria via LeMat-Bulk. Energies are from GGA-PBE.

As for the total energy: -4.1846 eV per atom. The calculated density comes out at 8.05 g/cm3.

Cell: 11.7908 11.7908 11.7908 Å, 109.47 109.47 109.47°
Element x y z (fractional)
H1 0.9222 0.8363 0.7889
H2 0.0860 0.1637 0.4526
H3 0.5860 0.6333 0.4222
H4 0.9140 0.8363 0.5474
H5 0.7889 0.4526 0.3667
H6 0.4526 0.6637 0.0860
H7 0.5778 0.7111 0.6637
H8 0.5474 0.3363 0.9140
H9 0.2889 0.4222 0.8363
H10 0.6333 0.5860 0.9222
H11 0.9222 0.0860 0.6333
H12 0.5778 0.8667 0.4140
H13 0.8363 0.9140 0.0474
H14 0.0474 0.6333 0.7111
H15 0.7889 0.3363 0.9222
H16 0.2111 0.5474 0.6333
H17 0.2111 0.6637 0.0778
H18 0.0860 0.9222 0.1333
H19 0.4526 0.7889 0.8667
H20 0.9140 0.0778 0.8667
H21 0.6333 0.0474 0.2111
H22 0.7111 0.5778 0.1637
H23 0.8667 0.5778 0.9140
H24 0.0474 0.4140 0.8363
H25 0.8667 0.2889 0.4526
H26 0.8363 0.9222 0.2889
H27 0.3667 0.9526 0.7889
H28 0.0778 0.1637 0.2111
H29 0.1333 0.7111 0.5474
H30 0.6637 0.2111 0.5778
H31 0.3363 0.7889 0.4222
H32 0.1637 0.0860 0.9526
H33 0.5474 0.2111 0.1333
H34 0.4222 0.2889 0.3363
H35 0.4140 0.0474 0.3363
H36 0.1637 0.0778 0.7111
H37 0.3363 0.5474 0.4140
H38 0.9526 0.5860 0.1637
H39 0.4140 0.3667 0.5778
H40 0.5860 0.9526 0.6637
H41 0.9526 0.3667 0.2889
H42 0.4222 0.1333 0.5860
H43 0.1333 0.4222 0.0860
H44 0.6637 0.4526 0.5860
H45 0.7111 0.1333 0.0474
H46 0.3667 0.4140 0.0778
H47 0.0778 0.9140 0.3667
H48 0.2889 0.8667 0.9526
Ac1 0.8750 0.1250 0.2500
Ac2 0.2500 0.1250 0.3750
Ac3 0.2500 0.6250 0.8750
Ac4 0.1250 0.8750 0.7500
Ac5 0.3750 0.7500 0.6250
Ac6 0.3750 0.6250 0.2500
Ac7 0.1250 0.2500 0.8750
Ac8 0.8750 0.7500 0.1250
Ac9 0.7500 0.8750 0.6250
Ac10 0.6250 0.2500 0.3750
Ac11 0.6250 0.3750 0.7500
Ac12 0.7500 0.3750 0.1250
Er1 0.1250 0.3750 0.2500
Er2 0.6250 0.7500 0.8750
Er3 0.5000 0.0000 0.0000
Er4 0.2500 0.3750 0.6250
Er5 0.0000 0.0000 0.0000
Er6 0.1250 0.7500 0.3750
Er7 0.6250 0.8750 0.2500
Er8 0.5000 0.0000 0.5000
Er9 0.0000 0.0000 0.5000
Er10 0.3750 0.2500 0.1250
Er11 0.7500 0.1250 0.8750
Er12 0.8750 0.6250 0.7500
Er13 0.0000 0.5000 0.0000
Er14 0.5000 0.5000 0.5000
Er15 0.7500 0.6250 0.3750
Er16 0.0000 0.5000 0.5000
Er17 0.8750 0.2500 0.6250
Er18 0.5000 0.5000 0.0000
Er19 0.3750 0.1250 0.7500
Er20 0.2500 0.8750 0.1250

***

(9)
Here is a geometry-optimized TlSiAu3 structure from Alexandria via LeMat-Bulk. Energies are from GGA-PBE.

The calculation puts the uncorrected formation energy at 0.01 eV/atom. The calculated density comes out at 13.29 g/cm3. The energy above the most stable polymorph in this dataset comes out at 0 meV per atom.

Cell: 6.9872 8.0016 8.0016 Å, 72.64 77.59 77.59°
Element x y z (fractional)
Au1 0.8673 0.3630 0.0200
Au2 0.5771 0.3027 0.3529
Au3 0.4346 0.3038 0.0290
Au4 0.5654 0.6962 0.9710
Au5 0.9346 0.0290 0.3038
Au6 0.4229 0.6973 0.6471
Au7 0.1327 0.6370 0.9800
Au8 0.3673 0.0200 0.3630
Au9 0.0771 0.3529 0.3027
Au10 0.6327 0.9800 0.6370
Au11 0.0654 0.9710 0.6962
Au12 0.9229 0.6471 0.6973
Si1 0.1742 0.7620 0.4327
Si2 0.3258 0.5673 0.2380
Si3 0.6742 0.4327 0.7620
Si4 0.8258 0.2380 0.5673
Tl1 0.7500 0.6626 0.3374
Tl2 0.2500 0.0042 0.9958
Tl3 0.2500 0.3374 0.6626
Tl4 0.7500 0.9958 0.0042

***

(10)
Here is a geometry-optimized Tl7Ru structure from Alexandria via LeMat-Bulk. Energies are from GGA-PBE.

The calculated density comes out at 11.74 g/cm3. As for the energy relative to the elements: 0.408 eV/atom.

Cell: 6.7417 6.7417 6.7417 Å, 60.00 60.00 60.00°
Last column: magnetic moment on the atom in μB.
Element x y z (fractional)
Tl1 0.0000 0.0000 0.5000  -0.01
Tl2 0.0000 0.5000 0.0000  -0.01
Tl3 0.0000 0.5000 0.5000  -0.01
Tl4 0.5000 0.0000 0.0000  -0.01
Tl5 0.5000 0.5000 0.0000  -0.01
Tl6 0.5000 0.0000 0.5000  -0.01
Tl7 0.5000 0.5000 0.5000  0.00
Ru1 0.0000 0.0000 0.0000  1.71

***

(11)
Here is a geometry-optimized AsBr2Cl structure from Alexandria via LeMat-Bulk. Energies are from GGA-PBE.

The calculation puts the uncorrected formation energy at 0.26 eV/atom. The calculated density comes out at 3.87 g/cm3. The energy above the most stable polymorph in this dataset comes out at 791 meV per atom.

Cell: 5.4065 5.4134 5.4076 Å, 77.21 56.16 102.78°
Last column: magnetic moment on the atom in μB.
Element x y z (fractional)
Br1 0.0000 0.0000 0.0000  0.00
Br2 0.5000 0.0000 0.5000  0.00
As1 0.5000 0.5000 0.0000  0.15
Cl1 0.0000 0.5000 0.5000  0.02

***

(12)
Here is a geometry-optimized CaPmCu2O5 structure from Alexandria via LeMat-Bulk. Energies are from GGA-PBE.

The calculation puts the uncorrected formation energy at -1.78 eV/atom. The calculated density comes out at 5.87 g/cm3.

Cell: 3.8505 3.8505 7.4872 Å, 90.00 90.00 90.00°
Last column: magnetic moment on the atom in μB.
Element x y z (fractional)
Ca1 0.0000 0.0000 0.5000  0.00
Cu1 0.5000 0.5000 0.2388  0.20
Cu2 0.5000 0.5000 0.7612  0.20
O1 0.5000 0.5000 0.5000  0.15
O2 0.5000 0.0000 0.7978  0.05
O3 0.0000 0.5000 0.2022  0.05
O4 0.0000 0.5000 0.7978  0.05
O5 0.5000 0.0000 0.2022  0.05
Pm1 0.0000 0.0000 0.0000  0.00

***

Copy entry 10 word for word.
Here is a geometry-optimized Tl7Ru structure from Alexandria via LeMat-Bulk. Energies are from GGA-PBE.

The calculated density comes out at 11.74 g/cm3. As for the energy relative to the elements: 0.408 eV/atom.

Cell: 6.7417 6.7417 6.7417 Å, 60.00 60.00 60.00°
Last column: magnetic moment on the atom in μB.
Element x y z (fractional)
Tl1 0.0000 0.0000 0.5000  -0.01
Tl2 0.0000 0.5000 0.0000  -0.01
Tl3 0.0000 0.5000 0.5000  -0.01
Tl4 0.5000 0.0000 0.0000  -0.01
Tl5 0.5000 0.5000 0.0000  -0.01
Tl6 0.5000 0.0000 0.5000  -0.01
Tl7 0.5000 0.5000 0.5000  0.00
Ru1 0.0000 0.0000 0.0000  1.71

***

Which of these has the lowest calculated density? AsBr2Cl

***

Look up the calculated density of the first one. 5.93 g/cm3

***

What is the formula in the second record? LaGeS3